Entry 1:
# Co2AuBr

A relaxed Co2AuBr crystal (PBE, Alexandria via LeMat-Bulk).

Values from the calculation:
Crystal system: tetragonal
Raw formation energy: 0.73 eV per atom
Distance to the lowest polymorph of the same formula: 34.1 kJ/mol of atoms
Density: 8.94 g/cm³
Space-group type: I-42d, No. 122

Unit cell a=5.7555 b=5.7555 c=5.7555 alpha=110.38 beta=110.38 gamma=107.66
Positions (direct):
Co1 0.1058 0.6250 0.9808
Co2 0.3750 0.3558 0.4808
Co3 0.6442 0.1250 0.0192
Co4 0.8750 0.8942 0.5192
Au1 0.2500 0.7500 0.5000
Au2 0.5000 0.5000 0.0000
Br1 0.0000 0.0000 0.0000
Br2 0.7500 0.2500 0.5000

---

Entry 2:
# Co2AuBr

A relaxed Co2AuBr crystal (PBE, Alexandria via LeMat-Bulk).

Values from the calculation:
Crystal system: orthorhombic
Raw formation energy: 0.81 eV per atom
Distance to the lowest polymorph of the same formula: 42.7 kJ/mol of atoms
Density: 9.16 g/cm³
Space-group type: Immm, No. 71

Unit cell a=5.2986 b=5.2986 c=5.2986 alpha=148.08 beta=111.96 gamma=77.13
Positions (direct):
Co1 0.2373 0.2373 0.0000
Co2 0.7627 0.7627 0.0000
Au1 0.5000 0.0000 0.5000
Br1 0.0000 0.5000 0.5000

---

Entry 3:
# CoHAuSBr

A relaxed CoHAuSBr crystal (PBE, Alexandria via LeMat-Bulk).

Values from the calculation:
Crystal system: triclinic
Distance to the lowest polymorph of the same formula: 1.5 kJ/mol of atoms
Density: 6.08 g/cm³
Space-group type: P1, No. 1

Unit cell a=3.2911 b=5.4235 c=5.9106 alpha=100.95 beta=94.54 gamma=101.59
Positions (direct):
Co1 0.0000 0.0000 0.0000
H1 0.9586 0.7845 0.1371
Au1 0.5610 0.4905 0.9977
S1 0.5837 0.1776 0.2116
Br1 0.3959 0.7843 0.7029

---

Entry 4:
# CoHAuSBr

A relaxed CoHAuSBr crystal (PBE, Alexandria via LeMat-Bulk).

Values from the calculation:
Crystal system: monoclinic
Distance to the lowest polymorph of the same formula: 15.1 kJ/mol of atoms
Density: 7.79 g/cm³
Space-group type: Cm, No. 8

Unit cell a=5.4996 b=5.4996 c=3.2179 alpha=95.37 beta=95.37 gamma=54.35
Positions (direct):
Co1 0.0000 0.0000 0.0000
H1 0.9084 0.9084 0.4960
Au1 0.7342 0.7342 0.4822
S1 0.1518 0.1518 0.5492
Br1 0.4802 0.4802 0.0712

---

Entry 5:
# CoHAuSBr

A relaxed CoHAuSBr crystal (PBE, Alexandria via LeMat-Bulk).

Values from the calculation:
Crystal system: triclinic
Distance to the lowest polymorph of the same formula: 0.0 kJ/mol of atoms
Density: 6.31 g/cm³
Space-group type: P1, No. 1

Unit cell a=3.3290 b=4.8853 c=6.5786 alpha=107.79 beta=102.50 gamma=97.73
Positions (direct):
Co1 0.0000 0.0000 0.0000
H1 0.9606 0.6634 0.9330
Au1 0.8233 0.5553 0.1455
S1 0.6292 0.1297 0.2340
Br1 0.3492 0.8937 0.7082

---

Entry 6:
# CoHAuSBr

A relaxed CoHAuSBr crystal (PBE, Alexandria via LeMat-Bulk).

Values from the calculation:
Crystal system: triclinic
Distance to the lowest polymorph of the same formula: 9.2 kJ/mol of atoms
Density: 6.15 g/cm³
Space-group type: P1, No. 1

Unit cell a=3.2492 b=5.0190 c=6.5928 alpha=104.97 beta=99.64 gamma=100.38
Positions (direct):
Co1 0.0000 0.0000 0.0000
H1 0.2819 0.6061 0.6876
Au1 0.8378 0.5415 0.0898
S1 0.3948 0.8957 0.7731
Br1 0.6476 0.1580 0.2948

---

Entry 7:
# CoHAuSBr

A relaxed CoHAuSBr crystal (PBE, Alexandria via LeMat-Bulk).

Values from the calculation:
Crystal system: triclinic
Distance to the lowest polymorph of the same formula: 8.0 kJ/mol of atoms
Density: 7.25 g/cm³
Space-group type: P1, No. 1

Unit cell a=3.5313 b=3.5352 c=7.9281 alpha=87.51 beta=79.57 gamma=60.38
Positions (direct):
Co1 0.0000 0.0000 0.0000
H1 0.8393 0.8931 0.1887
Au1 0.2494 0.3161 0.2333
S1 0.7109 0.6580 0.8922
Br1 0.5826 0.4591 0.4882

---

Entry 8:
# CoHAuSBr

A relaxed CoHAuSBr crystal (PBE, Alexandria via LeMat-Bulk).

Values from the calculation:
Crystal system: triclinic
Distance to the lowest polymorph of the same formula: 4.1 kJ/mol of atoms
Density: 5.92 g/cm³
Space-group type: P1, No. 1

Unit cell a=3.3394 b=5.5069 c=6.0756 alpha=76.78 beta=89.25 gamma=72.39
Positions (direct):
Co1 0.0000 0.0000 0.0000
H1 0.5690 0.8426 0.4256
Au1 0.7929 0.4067 0.1450
S1 0.5779 0.8342 0.2007
Br1 0.4298 0.1545 0.7167

---

Entry 9:
# CoHAuSBr

A relaxed CoHAuSBr crystal (PBE, Alexandria via LeMat-Bulk).

Values from the calculation:
Crystal system: triclinic
Distance to the lowest polymorph of the same formula: 5.7 kJ/mol of atoms
Density: 5.75 g/cm³
Space-group type: P1, No. 1

Unit cell a=3.7459 b=5.1344 c=6.0896 alpha=77.82 beta=87.15 gamma=68.65
Positions (direct):
Co1 0.0000 0.0000 0.0000
H1 0.1637 0.6846 0.9226
Au1 0.6998 0.6103 0.9344
S1 0.5054 0.9628 0.1621
Br1 0.8780 0.3033 0.6391

---

Entry 10:
# CoHAuSBr

A relaxed CoHAuSBr crystal (PBE, Alexandria via LeMat-Bulk).

Values from the calculation:
Crystal system: monoclinic
Distance to the lowest polymorph of the same formula: 7.3 kJ/mol of atoms
Density: 6.04 g/cm³
Space-group type: Pm, No. 6

Unit cell a=5.8131 b=2.8317 c=6.6290 alpha=90.00 beta=111.73 gamma=90.00
Positions (direct):
Co1 0.0000 0.0000 0.0000
H1 0.2007 0.5000 0.1142
Au1 0.3990 0.5000 0.9725
S1 0.7161 0.5000 0.8292
Br1 0.9983 0.0000 0.3780

---

Entry 11:
# Co2HgAuBr

A relaxed Co2HgAuBr crystal (PBE, Alexandria via LeMat-Bulk).

Values from the calculation:
Crystal system: tetragonal
Raw formation energy: 0.98 eV per atom
Density: 7.74 g/cm³
Space-group type: P4/mmm, No. 123

Unit cell a=4.9211 b=4.9211 c=5.2767 alpha=90.00 beta=90.00 gamma=90.00
Positions (direct):
Co1 0.0000 0.5000 0.0000
Co2 0.5000 0.0000 0.0000
Hg1 0.0000 0.0000 0.5000
Au1 0.0000 0.0000 0.0000
Br1 0.5000 0.5000 0.5000

---

Entry 12:
# KCoAuBr2

A relaxed KCoAuBr2 crystal (PBE, Alexandria via LeMat-Bulk).

Values from the calculation:
Crystal system: tetragonal
Raw formation energy: 0.82 eV per atom
Density: 3.86 g/cm³
Space-group type: P4/mmm, No. 123

Unit cell a=5.8764 b=5.8764 c=5.6685 alpha=90.00 beta=90.00 gamma=90.00
Positions (direct):
K1 0.0000 0.0000 0.0000
Co1 0.5000 0.5000 0.5000
Au1 0.0000 0.0000 0.5000
Br1 0.0000 0.5000 0.0000
Br2 0.5000 0.0000 0.0000

---

Entry 13:
# LaCoAuBr2

A relaxed LaCoAuBr2 crystal (PBE, Alexandria via LeMat-Bulk).

Values from the calculation:
Crystal system: tetragonal
Raw formation energy: -0.37 eV per atom
Density: 7.56 g/cm³
Space-group type: P4/mmm, No. 123

Unit cell a=4.8442 b=4.8442 c=5.1898 alpha=90.00 beta=90.00 gamma=90.00
Positions (direct):
La1 0.0000 0.0000 0.0000
Co1 0.0000 0.0000 0.5000
Au1 0.5000 0.5000 0.0000
Br1 0.0000 0.5000 0.5000
Br2 0.5000 0.0000 0.5000

---

Entry 14:
# La6CoAu2Br3

A relaxed La6CoAu2Br3 crystal (PBE, Alexandria via LeMat-Bulk).

Values from the calculation:
Crystal system: monoclinic
Raw formation energy: -0.98 eV per atom
Density: 6.77 g/cm³
Space-group type: C2/m, No. 12

Unit cell a=7.4500 b=7.4500 c=8.1279 alpha=98.98 beta=98.98 gamma=119.21
Positions (direct):
La1 0.0667 0.3702 0.2030
La2 0.2405 0.2405 0.7916
La3 0.3702 0.0667 0.2030
La4 0.6298 0.9333 0.7970
La5 0.7595 0.7595 0.2084
La6 0.9333 0.6298 0.7970
Co1 0.0000 0.0000 0.0000
Au1 0.3337 0.6663 0.0000
Au2 0.6663 0.3337 0.0000
Br1 0.1673 0.8327 0.5000
Br2 0.5000 0.5000 0.5000
Br3 0.8327 0.1673 0.5000

---

Entry 15:
# NbCoAuBr2

A relaxed NbCoAuBr2 crystal (PBE, Alexandria via LeMat-Bulk).

Values from the calculation:
Crystal system: tetragonal
Raw formation energy: 0.73 eV per atom
Density: 8.02 g/cm³
Space-group type: P4/mmm, No. 123

Unit cell a=4.6541 b=4.6541 c=4.8622 alpha=90.00 beta=90.00 gamma=90.00
Positions (direct):
Nb1 0.0000 0.0000 0.0000
Co1 0.0000 0.0000 0.5000
Au1 0.5000 0.5000 0.0000
Br1 0.0000 0.5000 0.5000
Br2 0.5000 0.0000 0.5000

---

Entry 16:
# Nd4CoAuBr2

A relaxed Nd4CoAuBr2 crystal (PBE, Alexandria via LeMat-Bulk).

Values from the calculation:
Crystal system: monoclinic
Raw formation energy: -0.85 eV per atom
Density: 7.02 g/cm³
Space-group type: P2/m, No. 10

Unit cell a=7.3685 b=4.1238 c=8.1085 alpha=90.00 beta=107.52 gamma=90.00
Positions (direct):
Nd1 0.2219 0.0000 0.1961
Nd2 0.2282 0.5000 0.8001
Nd3 0.7718 0.5000 0.1999
Nd4 0.7781 0.0000 0.8039
Co1 0.0000 0.5000 0.0000
Au1 0.5000 0.0000 0.0000
Br1 0.0000 0.0000 0.5000
Br2 0.5000 0.5000 0.5000